Below is an optimized crystal structure of MgNbZn2Te, with properties calculated at the PBE level.

a b c (Å): 5.163 5.163 5.364
angles (deg): 90.00 90.00 90.00
Space group P4/mmm (No. 123)
Symmetry-distinct sites (fractional):
Mg 0.000 0.000 0.000
Nb 0.500 0.500 0.000
Zn 0.000 0.500 0.500
Te 0.000 0.000 0.500

Computed properties:
size of the total moment = 0.715 μB/atom
raw total energy = -11.42 eV/cell
crystal system = tetragonal

=====

Below is an optimized crystal structure of Hf2AgAu2, with properties calculated at the PBE level.

a b c (Å): 4.350 4.350 11.870
angles (deg): 90.00 90.00 90.00
Space group I4/mmm (No. 139)
Symmetry-distinct sites (fractional):
Hf 0.000 0.500 0.250
Ag 0.000 0.000 0.000
Au 0.000 0.000 0.391

Computed properties:
size of the total moment = 0.000 μB/atom
energy relative to the elements = 0.285 eV per formula unit
energy relative to the lowest polymorph listed for this composition = 1.92 eV per formula unit
crystal system = tetragonal

=====

Below is an optimized crystal structure of Sc3Ga9Cu2, with properties calculated at the PBE level.

a b c (Å): 4.037 9.960 11.789
angles (deg): 90.00 90.00 90.00
Space group Immm (No. 71)
Symmetry-distinct sites (fractional):
Sc 0.000 0.000 0.000
Sc 0.000 0.000 0.316
Ga 0.000 0.284 0.136
Ga 0.000 0.376 0.345
Ga 0.000 0.500 0.000
Cu 0.000 0.204 0.500

Computed properties:
size of the total moment = 0.000 μB/atom
energy relative to the elements = -5.600 eV per formula unit
crystal system = orthorhombic

=====

Below is an optimized crystal structure of MnMo2Au, with properties calculated at the PBE level.

a b c (Å): 2.793 3.853 5.647
angles (deg): 90.00 90.00 90.00
Space group Pmmm (No. 47)
Symmetry-distinct sites (fractional):
Mn 0.000 0.000 0.000
Mo 0.500 0.500 0.218
Au 0.000 0.000 0.500

Computed properties:
size of the total moment = 0.178 μB/atom
energy relative to the elements = 0.848 eV per formula unit
energy relative to the lowest polymorph listed for this composition = 0.18 eV per formula unit
crystal system = orthorhombic

=====

Below is an optimized crystal structure of TbErBeAu, with properties calculated at the PBE level.

a b c (Å): 7.045 7.045 7.045
angles (deg): 90.00 90.00 90.00
Space group F-43m (No. 216)
Symmetry-distinct sites (fractional):
Tb 0.000 0.000 0.000
Er 0.000 0.000 0.500
Be 0.250 0.250 0.250
Au 0.250 0.250 0.750

Computed properties:
size of the total moment = 0.000 μB/atom
energy relative to the elements = -1.358 eV per formula unit
crystal system = cubic

=====

Below is an optimized crystal structure of Tb2YHo3Tm6, with properties calculated at the PBE level.

a b c (Å): 6.094 10.541 11.640
angles (deg): 90.00 100.02 90.00
Space group C2/m (No. 12)
Symmetry-distinct sites (fractional):
Tb 0.000 0.167 0.000
Y 0.000 0.500 0.000
Ho 0.000 0.000 0.500
Ho 0.000 0.333 0.500
Tm 0.249 0.167 0.749
Tm 0.250 0.000 0.251

Computed properties:
size of the total moment = 0.000 μB/atom
energy relative to the elements = 0.287 eV per formula unit
crystal system = monoclinic

=====

Please write out number 4 again, unchanged.
Below is an optimized crystal structure of MnMo2Au, with properties calculated at the PBE level.

a b c (Å): 2.793 3.853 5.647
angles (deg): 90.00 90.00 90.00
Space group Pmmm (No. 47)
Symmetry-distinct sites (fractional):
Mn 0.000 0.000 0.000
Mo 0.500 0.500 0.218
Au 0.000 0.000 0.500

Computed properties:
size of the total moment = 0.178 μB/atom
energy relative to the elements = 0.848 eV per formula unit
energy relative to the lowest polymorph listed for this composition = 0.18 eV per formula unit
crystal system = orthorhombic